No. 1
The following is a DFT calculation (meta-GGA SCAN) of a crystal of Ba2AlZn relaxed with PBEsol.

```
Ba2AlZn
1.0
4.0220 0.0000 0.0000
0.0000 4.0220 0.0000
0.0000 0.0000 8.1178
Ba Zn Al
2 1 1
Direct
0.0000 0.0000 0.2468
0.0000 0.0000 0.7532
0.5000 0.5000 0.0000
0.5000 0.5000 0.5000
```

Computed properties:
crystal system = tetragonal
V = 32.8 A^3/atom
space-group type = P4/mmm (123)
size of the total moment = 0.0 μB per formula unit
VASP energy = -25.188 eV/atom

No. 2
The following is a DFT calculation (meta-GGA SCAN) of a crystal of CaSbMo relaxed with PBEsol.

```
CaSbMo
1.0
4.9120 0.0000 0.0000
2.4560 4.2539 0.0000
2.4560 1.4180 4.0106
Ca Sb Mo
1 1 1
Direct
0.2500 0.2500 0.2500
0.5000 0.5000 0.5000
0.0000 0.0000 0.0000
```

Computed properties:
crystal system = cubic
V = 27.9 A^3/atom
formation energy (no corrections) = 0.7674 eV/atom
space-group type = F-43m (216)
size of the total moment = 5.0 μB per formula unit

No. 3
The following is a DFT calculation (meta-GGA SCAN) of a crystal of CaFeTe2 relaxed with PBEsol.

```
CaFeTe2
1.0
3.6467 0.0000 0.0000
0.0000 5.0308 0.0000
0.0000 0.0000 5.0308
Ca Te Fe
1 2 1
Direct
0.5000 0.5000 0.5000
0.0000 0.0000 0.5000
0.0000 0.5000 0.0000
0.5000 0.0000 0.0000
```

Computed properties:
crystal system = tetragonal
V = 23.1 A^3/atom
formation energy (no corrections) = -0.3544 eV/atom
space-group type = P4/mmm (123)
size of the total moment = 2.7 μB per formula unit

No. 4
The following is a DFT calculation (meta-GGA SCAN) of a crystal of CrAgAs2F relaxed with PBEsol.

```
CrAgAs2F
1.0
4.0468 0.0000 0.0000
0.0000 4.9291 0.0000
0.0000 0.0000 4.9291
As Cr Ag F
2 1 1 1
Direct
0.0000 0.5000 0.0000
0.0000 0.0000 0.5000
0.5000 0.5000 0.5000
0.0000 0.0000 0.0000
0.5000 0.0000 0.0000
```

Computed properties:
crystal system = tetragonal
V = 19.7 A^3/atom
formation energy (no corrections) = 0.2087 eV/atom
space-group type = P4/mmm (123)
size of the total moment = 3.4 μB per formula unit

No. 5
The following is a DFT calculation (meta-GGA SCAN) of a crystal of Si2TeSe relaxed with PBEsol.

```
Si2TeSe
1.0
3.3351 0.0000 0.0000
0.0000 4.8216 0.0000
0.0000 0.0000 4.8700
Si Te Se
2 1 1
Direct
0.5000 0.0000 0.5000
0.0000 0.0000 0.0000
0.5000 0.5000 0.0000
0.0000 0.5000 0.5000
```

Computed properties:
crystal system = orthorhombic
V = 19.6 A^3/atom
formation energy (no corrections) = 0.7567 eV/atom
space-group type = Pmmm (47)
size of the total moment = 0.0 μB per formula unit
relative energy among the computed polymorphs = 722 meV per atom

No. 6
The following is a DFT calculation (meta-GGA SCAN) of a crystal of MgSc2Cu2 relaxed with PBEsol.

```
MgSc2Cu2
1.0
-0.3286 -1.9273 2.6730
2.7265 1.3497 1.3083
-6.0986 6.4585 1.8556
Cu Sc Mg
2 2 1
Direct
0.7500 0.2500 0.5000
0.2500 0.7500 0.5000
0.6241 0.6241 0.2481
0.3759 0.3759 0.7519
0.0000 0.0000 0.0000
```

Computed properties:
crystal system = tetragonal
V = 19.2 A^3/atom
space-group type = I4/mmm (139)
size of the total moment = 0.0 μB per formula unit
VASP energy = -12.693 eV/atom

No. 7
The following is a DFT calculation (meta-GGA SCAN) of a crystal of ScGa2FeNi relaxed with PBEsol.

```
ScGa2FeNi
1.0
4.1800 0.0000 0.0000
0.0000 4.9399 0.0000
0.0000 0.0000 4.9399
Ga Sc Fe Ni
2 1 1 1
Direct
0.0000 0.5000 0.0000
0.0000 0.0000 0.5000
0.0000 0.0000 0.0000
0.5000 0.0000 0.0000
0.5000 0.5000 0.5000
```

Computed properties:
crystal system = tetragonal
V = 20.4 A^3/atom
space-group type = P4/mmm (123)
size of the total moment = 2.9 μB per formula unit
VASP energy = -14.872 eV/atom

No. 8
The following is a DFT calculation (meta-GGA SCAN) of a crystal of RbTa3Zn relaxed with PBEsol.

```
RbTa3Zn
1.0
-4.0724 -1.8378 1.9621
2.3382 -4.1789 0.9386
1.3268 1.7235 4.3681
Zn Ta Rb
1 3 1
Direct
0.0000 0.0000 0.0000
0.0000 0.0000 0.5000
0.0000 0.5000 0.0000
0.5000 0.0000 0.0000
0.5000 0.5000 0.5000
```

Computed properties:
crystal system = cubic
V = 23.2 A^3/atom
space-group type = Pm-3m (221)
size of the total moment = 1.7 μB per formula unit
VASP energy = -44.728 eV/atom